[1]
Entry from Alexandria: Pm2U3Ru4 after structural relaxation (PBE-GGA).

Structure (extended XYZ):
```
18
Lattice="-2.942 5.543 6.249 2.942 -5.543 6.249 2.942 5.543 -6.249" Properties=species:S:1:pos:R:3 pbc="T T T"
Pm 1.375 1.267 0.000
Pm 1.375 -1.267 6.249
Pm 1.567 6.811 0.000
Pm 1.567 4.276 6.249
U 2.942 3.622 -3.124
U 2.942 0.000 3.124
U 0.000 1.921 3.124
U 2.942 3.622 3.124
U 0.000 5.543 3.124
U 0.000 1.921 9.373
Ru 4.149 1.591 -1.478
Ru 1.207 3.952 -1.478
Ru 4.149 1.591 1.478
Ru 1.207 3.952 1.478
Ru 1.735 1.591 4.770
Ru -1.207 3.952 4.770
Ru 1.735 1.591 7.727
Ru -1.207 3.952 7.727
```

Properties
* calculated total energy: -164.231 eV per cell
* calculated density: 11.48 g/cm³
* space-group type: Ibam
* spin magnetization: 0.365 μB/atom

***

[2]
Entry from Alexandria: Pm2URu4 after structural relaxation (PBE-GGA).

Structure (extended XYZ):
```
7
Lattice="-2.223 2.223 7.189 2.223 -2.223 7.189 2.223 2.223 -7.189" Properties=species:S:1:pos:R:3 pbc="T T T"
Pm 0.000 0.000 3.388
Pm 0.000 0.000 10.989
U 0.000 0.000 7.189
Ru 2.223 0.000 1.405
Ru 2.223 0.000 5.783
Ru 0.000 2.223 1.405
Ru 0.000 2.223 5.783
```

Properties
* calculated total energy: -57.445 eV per cell
* calculated density: 10.90 g/cm³
* space-group type: I4/mmm
* spin magnetization: 0.000 μB/atom

***

[3]
Entry from Alexandria: Pm3URu3 after structural relaxation (PBE-GGA).

Structure (extended XYZ):
```
14
Lattice="2.083 -5.674 0.000 2.083 5.674 0.000 0.000 0.000 14.018" Properties=species:S:1:pos:R:3 pbc="T T T"
Pm 2.083 5.665 10.513
Pm 2.083 2.484 8.614
Pm 2.083 2.484 12.413
Pm 2.083 -2.484 1.605
Pm 2.083 -2.484 5.404
Pm 2.083 -5.665 3.504
U 0.000 0.000 0.000
U 0.000 0.000 7.009
Ru 2.083 2.225 3.504
Ru 2.083 0.752 1.200
Ru 2.083 0.752 5.809
Ru 2.083 -0.752 8.209
Ru 2.083 -0.752 12.818
Ru 2.083 -2.225 10.513
```

Properties
* calculated total energy: -111.179 eV per cell
* calculated density: 9.78 g/cm³
* space-group type: Cmcm
* spin magnetization: 0.091 μB/atom
* polymorph energy (0 for the lowest one): 0.000 eV per atom

***

[4]
Entry from Alexandria: Pm12URu7 after structural relaxation (PBE-GGA).

Structure (extended XYZ):
```
20
Lattice="7.340 4.238 3.055 -7.340 4.238 3.055 0.000 -8.475 3.055" Properties=species:S:1:pos:R:3 pbc="T T T"
Pm -1.087 -4.143 3.054
Pm -2.136 -0.566 2.773
Pm -3.044 3.013 3.054
Pm -4.131 -1.130 6.112
Pm 1.559 -1.567 2.773
Pm 0.578 2.133 2.773
Pm -0.578 -2.133 6.393
Pm -1.559 1.567 6.393
Pm 4.131 1.130 3.054
Pm 3.044 -3.013 6.112
Pm 2.136 0.566 6.393
Pm 1.087 4.143 6.112
U 0.000 0.000 0.000
Ru -6.686 -1.958 5.224
Ru -1.648 -6.769 3.942
Ru -5.039 4.812 3.942
Ru 0.000 0.000 4.583
Ru 5.039 -4.812 5.224
Ru 1.648 6.769 5.224
Ru 6.686 1.958 3.942
```

Properties
* calculated total energy: -137.641 eV per cell
* calculated density: 7.82 g/cm³
* space-group type: R-3
* spin magnetization: 0.000 μB/atom

***

[5]
Entry from Alexandria: PmU2Ru2 after structural relaxation (PBE-GGA).

Structure (extended XYZ):
```
10
Lattice="0.000 5.636 6.613 3.056 0.000 6.613 3.056 5.636 0.000" Properties=species:S:1:pos:R:3 pbc="T T T"
Pm 0.764 1.409 1.653
Pm 5.348 9.864 11.572
U 2.292 4.227 3.693
U 2.292 4.227 6.226
U 3.820 7.045 6.999
U 3.820 7.045 9.532
Ru 2.292 1.712 4.959
Ru 3.820 4.530 8.266
Ru 2.292 6.742 4.959
Ru 3.820 9.561 8.266
```

Properties
* calculated total energy: -90.935 eV per cell
* calculated density: 12.00 g/cm³
* space-group type: Fddd
* spin magnetization: 0.251 μB/atom

***

[6]
Entry from Alexandria: Pm4U2Ru5 after structural relaxation (PBE-GGA).

Structure (extended XYZ):
```
22
Lattice="-4.408 9.126 3.096 4.408 -9.126 3.096 4.408 9.126 -3.096" Properties=species:S:1:pos:R:3 pbc="T T T"
Pm 6.614 0.991 0.000
Pm 1.060 2.508 0.000
Pm 5.467 6.618 0.000
Pm 2.207 8.135 0.000
Pm 2.201 0.991 3.096
Pm -1.060 2.508 3.096
Pm 3.348 6.618 3.096
Pm -2.207 8.135 3.096
U 4.408 -3.593 1.548
U 4.408 3.593 1.548
U 0.000 5.533 1.548
U 0.000 12.719 1.548
Ru 3.864 1.627 0.000
Ru 2.956 -5.024 3.096
Ru 0.000 0.000 1.548
Ru 2.956 5.024 0.000
Ru 3.864 -1.627 3.096
Ru 0.543 10.753 0.000
Ru 1.451 4.102 3.096
Ru 0.000 0.000 4.644
Ru 1.451 14.150 0.000
Ru 0.543 7.499 3.096
```

Properties
* calculated total energy: -180.041 eV per cell
* calculated density: 10.41 g/cm³
* space-group type: Ibam
* spin magnetization: 0.121 μB/atom

***

[7]
Entry from Alexandria: Pm5U2Ru5 after structural relaxation (PBE-GGA).

Structure (extended XYZ):
```
12
Lattice="5.577 -2.063 0.000 5.577 2.063 0.000 -3.846 0.000 12.610" Properties=species:S:1:pos:R:3 pbc="T T T"
Pm 0.000 0.000 0.000
Pm -0.144 0.000 7.216
Pm -0.491 0.000 10.788
Pm 7.799 0.000 1.822
Pm 7.452 0.000 5.394
U 2.892 0.000 8.732
U 4.416 0.000 3.877
Ru 0.212 0.000 3.115
Ru 4.374 0.000 1.527
Ru 3.654 0.000 6.305
Ru 2.934 0.000 11.082
Ru 7.096 0.000 9.495
```

Properties
* calculated total energy: -94.224 eV per cell
* calculated density: 9.77 g/cm³
* space-group type: C2/m
* spin magnetization: 0.065 μB/atom

***

[8]
Entry from Alexandria: Pm2ZrU2Ru5 after structural relaxation (PBE-GGA).

Structure (extended XYZ):
```
20
Lattice="10.656 0.000 0.000 0.000 10.656 0.000 0.000 0.000 3.515" Properties=species:S:1:pos:R:3 pbc="T T T"
Pm 1.856 3.472 0.000
Pm 3.472 8.800 0.000
Pm 7.184 1.856 0.000
Pm 8.800 7.184 0.000
Zr 0.000 0.000 0.000
Zr 5.328 5.328 0.000
U 1.481 6.809 0.000
U 3.847 1.481 0.000
U 6.809 9.175 0.000
U 9.175 3.847 0.000
Ru 0.000 5.328 1.758
Ru 0.537 8.467 1.758
Ru 2.189 0.537 1.758
Ru 3.139 5.865 1.758
Ru 4.791 3.139 1.758
Ru 5.328 0.000 1.758
Ru 5.865 7.517 1.758
Ru 7.517 4.791 1.758
Ru 8.467 10.119 1.758
Ru 10.119 2.189 1.758
```

Properties
* calculated total energy: -178.783 eV per cell
* calculated density: 11.34 g/cm³
* space-group type: P4/mbm
* spin magnetization: 0.000 μB/atom